[1]
Entry from Alexandria via LeMat-Bulk: crystalline Ba2LaUP4 at its relaxed geometry (PBE).

Calculated values
E_tot   -6.32 eV/atom

Structure (CIF):
```
data_Ba2LaUP4
_chemical_formula_sum 'Ba2 La1 U1 P4'
_symmetry_space_group_name_H-M 'P 1 2/m 1'
_symmetry_Int_Tables_number 10
_cell_length_a 7.445
_cell_length_b 4.312
_cell_length_c 7.709
_cell_angle_alpha 90.00
_cell_angle_beta 108.83
_cell_angle_gamma 90.00
loop_
_symmetry_equiv_pos_as_xyz
'x,y,z'
'-x,-y,-z'
'-x,y,-z'
'x,-y,z'
loop_
_atom_site_label
_atom_site_fract_x
_atom_site_fract_y
_atom_site_fract_z
_atom_site_occupancy
Ba1 0.000 0.000 0.000 1
Ba2 0.500 0.500 0.000 1
La1 0.000 0.500 0.500 1
U1 0.500 0.000 0.500 1
P1 0.260 0.000 0.705 1
P2 0.286 0.500 0.301 1
```

[2]
Entry from Alexandria via LeMat-Bulk: crystalline Er7Te3 at its relaxed geometry (PBE).

Calculated values
E_form (uncorrected)   -0.73 eV per atom

Structure (CIF):
```
data_Er7Te3
_chemical_formula_sum 'Er14 Te6'
_symmetry_space_group_name_H-M 'P 63 m c'
_symmetry_Int_Tables_number 186
_symmetry_space_group_name_Hall 'P 6c -2c'
_cell_length_a 9.6816
_cell_length_b 9.6816
_cell_length_c 7.0943
_cell_angle_alpha 90.00
_cell_angle_beta 90.00
_cell_angle_gamma 120.00
loop_
_atom_site_label
_atom_site_fract_x
_atom_site_fract_y
_atom_site_fract_z
_atom_site_occupancy
Er1 0.0756 0.5378 0.0000 1
Er2 0.1226 0.2452 0.7185 1
Er3 0.3333 0.6667 0.6460 1
Te1 0.2024 0.4048 0.3307 1
```

[3]
Entry from Alexandria via LeMat-Bulk: crystalline Rb3LaPu2Te6 at its relaxed geometry (PBE).

Calculated values
E_form (uncorrected)   -1.22 eV per atom

Structure (CIF):
```
data_Rb3LaPu2Te6
_chemical_formula_sum 'Rb6 La2 Pu4 Te12'
_symmetry_space_group_name_H-M 'C 1 2/m 1'
_symmetry_Int_Tables_number 12
_cell_length_a 8.068
_cell_length_b 13.973
_cell_length_c 8.926
_cell_angle_alpha 90.00
_cell_angle_beta 107.56
_cell_angle_gamma 90.00
loop_
_symmetry_equiv_pos_as_xyz
'x,y,z'
'-x,-y,-z'
'-x,y,-z'
'x,-y,z'
'x+1/2,y+1/2,z'
'-x+1/2,-y+1/2,-z'
'-x+1/2,y+1/2,-z'
'x+1/2,-y+1/2,z'
loop_
_atom_site_label
_atom_site_fract_x
_atom_site_fract_y
_atom_site_fract_z
_atom_site_occupancy
Rb1 0.000 0.000 0.000 1
Rb2 0.000 0.335 0.000 1
La1 0.000 0.500 0.500 1
Pu1 0.000 0.167 0.500 1
Te1 0.225 0.000 0.701 1
Te2 0.238 0.329 0.702 1
```

[4]
Entry from Alexandria via LeMat-Bulk: crystalline La2SbOs2 at its relaxed geometry (PBE).

Calculated values
E_form (uncorrected)   -0.19 eV per atom

Structure (CIF):
```
data_La2SbOs2
_chemical_formula_sum 'La4 Sb2 Os4'
_symmetry_space_group_name_H-M 'P 4/m b m'
_symmetry_Int_Tables_number 127
_symmetry_space_group_name_Hall '-P 4 2ab'
_cell_length_a 7.313
_cell_length_b 7.313
_cell_length_c 4.522
_cell_angle_alpha 90.00
_cell_angle_beta 90.00
_cell_angle_gamma 90.00
loop_
_atom_site_label
_atom_site_fract_x
_atom_site_fract_y
_atom_site_fract_z
_atom_site_occupancy
La1 0.183 0.317 0.000 1
Sb1 0.000 0.000 0.500 1
Os1 0.114 0.614 0.500 1
```

[5]
Entry from Alexandria via LeMat-Bulk: crystalline HfTeN at its relaxed geometry (PBE).

Calculated values
E_form (uncorrected)   -0.53 eV per atom

Structure (CIF):
```
data_HfTeN
_chemical_formula_sum 'Hf4 Te4 N4'
_symmetry_space_group_name_H-M 'A m m 2'
_symmetry_Int_Tables_number 38
_cell_length_a 12.095
_cell_length_b 3.615
_cell_length_c 6.077
_cell_angle_alpha 90.00
_cell_angle_beta 90.00
_cell_angle_gamma 90.00
loop_
_symmetry_equiv_pos_as_xyz
'x,y,z'
'-x,-y,z'
'-x,y,z'
'x,-y,z'
'x,y+1/2,z+1/2'
'-x,-y+1/2,z+1/2'
'-x,y+1/2,z+1/2'
'x,-y+1/2,z+1/2'
loop_
_atom_site_label
_atom_site_fract_x
_atom_site_fract_y
_atom_site_fract_z
_atom_site_occupancy
Hf1 0.000 0.000 0.000 1
Hf2 0.500 0.000 0.339 1
Te1 0.336 0.000 0.989 1
N1 0.067 0.000 0.335 1
```

[6]
Entry from Alexandria via LeMat-Bulk: crystalline Na2GaSe2 at its relaxed geometry (PBE).

Calculated values
E_form (uncorrected)   -0.62 eV per atom

Structure (CIF):
```
data_Na2GaSe2
_chemical_formula_sum 'Na4 Ga2 Se4'
_symmetry_space_group_name_H-M 'P 4/m b m'
_symmetry_Int_Tables_number 127
_symmetry_space_group_name_Hall '-P 4 2ab'
_cell_length_a 7.548
_cell_length_b 7.548
_cell_length_c 4.188
_cell_angle_alpha 90.00
_cell_angle_beta 90.00
_cell_angle_gamma 90.00
loop_
_atom_site_label
_atom_site_fract_x
_atom_site_fract_y
_atom_site_fract_z
_atom_site_occupancy
Na1 0.135 0.365 0.000 1
Ga1 0.000 0.000 0.500 1
Se1 0.182 0.682 0.500 1
```

[7]
Entry from Alexandria via LeMat-Bulk: crystalline Mg2RePb at its relaxed geometry (PBE).

Calculated values
E_tot   -4.37 eV/atom

Structure (CIF):
```
data_Mg2RePb
_chemical_formula_sum 'Mg4 Re2 Pb2'
_symmetry_space_group_name_H-M 'I m m m'
_symmetry_Int_Tables_number 71
_symmetry_space_group_name_Hall '-I 2 2'
_cell_length_a 3.578
_cell_length_b 4.515
_cell_length_c 9.571
_cell_angle_alpha 90.00
_cell_angle_beta 90.00
_cell_angle_gamma 90.00
loop_
_atom_site_label
_atom_site_fract_x
_atom_site_fract_y
_atom_site_fract_z
_atom_site_occupancy
Mg1 0.000 0.000 0.233 1
Re1 0.000 0.500 0.500 1
Pb1 0.000 0.500 0.000 1
```

[8]
Entry from Alexandria via LeMat-Bulk: crystalline Co2MoRh at its relaxed geometry (PBE).

Calculated values
E_tot   -8.07 eV/atom

Structure (CIF):
```
data_Co2MoRh
_chemical_formula_sum 'Co2 Mo1 Rh1'
_symmetry_space_group_name_H-M 'P 4 m m'
_symmetry_Int_Tables_number 99
_cell_length_a 2.701
_cell_length_b 2.701
_cell_length_c 7.122
_cell_angle_alpha 90.00
_cell_angle_beta 90.00
_cell_angle_gamma 90.00
loop_
_symmetry_equiv_pos_as_xyz
'x,y,z'
'-y,x,z'
'-x,-y,z'
'y,-x,z'
'-x,y,z'
'y,x,z'
'x,-y,z'
'-y,-x,z'
loop_
_atom_site_label
_atom_site_fract_x
_atom_site_fract_y
_atom_site_fract_z
_atom_site_occupancy
Co1 0.000 0.000 0.000 1
Co2 0.500 0.500 0.213 1
Mo1 0.000 0.000 0.468 1
Rh1 0.500 0.500 0.747 1
```

[9]
Entry from Alexandria via LeMat-Bulk: crystalline Ga2Au2Se at its relaxed geometry (PBE).

Calculated values
E_form (uncorrected)   -0.02 eV per atom

Structure (CIF):
```
data_Ga2Au2Se
_chemical_formula_sum 'Ga4 Au4 Se2'
_symmetry_space_group_name_H-M 'P 4/m b m'
_symmetry_Int_Tables_number 127
_symmetry_space_group_name_Hall '-P 4 2ab'
_cell_length_a 8.229
_cell_length_b 8.229
_cell_length_c 2.867
_cell_angle_alpha 90.00
_cell_angle_beta 90.00
_cell_angle_gamma 90.00
loop_
_atom_site_label
_atom_site_fract_x
_atom_site_fract_y
_atom_site_fract_z
_atom_site_occupancy
Ga1 0.188 0.312 0.000 1
Au1 0.118 0.618 0.500 1
Se1 0.000 0.000 0.000 1
```

[10]
Entry from Alexandria via LeMat-Bulk: crystalline AcScAl2Hg5 at its relaxed geometry (PBE).

Calculated values
E_tot   -2.29 eV/atom

Structure (CIF):
```
data_AcScAl2Hg5
_chemical_formula_sum 'Ac1 Sc1 Al2 Hg5'
_symmetry_space_group_name_H-M 'P 4/m m m'
_symmetry_Int_Tables_number 123
_symmetry_space_group_name_Hall '-P 4 2'
_cell_length_a 5.310
_cell_length_b 5.310
_cell_length_c 7.980
_cell_angle_alpha 90.00
_cell_angle_beta 90.00
_cell_angle_gamma 90.00
loop_
_atom_site_label
_atom_site_fract_x
_atom_site_fract_y
_atom_site_fract_z
_atom_site_occupancy
Ac1 0.000 0.000 0.000 1
Sc1 0.000 0.000 0.500 1
Al1 0.500 0.500 0.338 1
Hg1 0.000 0.500 0.289 1
Hg2 0.500 0.500 0.000 1
```

[11]
Entry from Alexandria via LeMat-Bulk: crystalline SrYReO6 at its relaxed geometry (PBE).

Calculated values
E_form (uncorrected)   -2.48 eV per atom

Structure (CIF):
```
data_SrYReO6
_chemical_formula_sum 'Sr1 Y1 Re1 O6'
_symmetry_space_group_name_H-M 'P 3 1 2'
_symmetry_Int_Tables_number 149
_cell_length_a 5.5792
_cell_length_b 5.5792
_cell_length_c 5.2299
_cell_angle_alpha 90.00
_cell_angle_beta 90.00
_cell_angle_gamma 120.00
loop_
_symmetry_equiv_pos_as_xyz
'x,y,z'
'-y,x-y,z'
'-x+y,-x,z'
'-y,-x,-z'
'-x+y,y,-z'
'x,x-y,-z'
loop_
_atom_site_label
_atom_site_fract_x
_atom_site_fract_y
_atom_site_fract_z
_atom_site_occupancy
Sr1 0.0000 0.0000 0.0000 1
Y1 0.3333 0.6667 0.5000 1
Re1 0.6667 0.3333 0.5000 1
O1 0.3918 0.0462 0.7073 1
```

[12]
Entry from Alexandria via LeMat-Bulk: crystalline ScHgTe2I at its relaxed geometry (PBE).

Calculated values
E_form (uncorrected)   0.32 eV per atom

Structure (CIF):
```
data_ScHgTe2I
_chemical_formula_sum 'Sc1 Hg1 Te2 I1'
_symmetry_space_group_name_H-M 'P 4/m m m'
_symmetry_Int_Tables_number 123
_symmetry_space_group_name_Hall '-P 4 2'
_cell_length_a 5.588
_cell_length_b 5.588
_cell_length_c 5.808
_cell_angle_alpha 90.00
_cell_angle_beta 90.00
_cell_angle_gamma 90.00
loop_
_atom_site_label
_atom_site_fract_x
_atom_site_fract_y
_atom_site_fract_z
_atom_site_occupancy
Sc1 0.000 0.000 0.000 1
Hg1 0.500 0.500 0.500 1
Te1 0.000 0.500 0.500 1
I1 0.500 0.500 0.000 1
```

The following Fermi-level density of states values (in states/eV per atom) correspond, in order, to the records above: 0.5880 0.8705 2.2932 0.9505 0.1849 0.5650 0.4516 1.2099 0.4421 0.4597 0.0000 0.8345.